# Ac2HgI

A relaxed Ac2HgI crystal (GGA-PBE, the Alexandria database).

a b c (Å): 4.156 4.156 10.331
angles (deg): 78.40 78.40 60.00
Element x y z (fractional)
Hg 0.667 0.667 0.000
Ac 0.079 0.079 0.764
Ac 0.255 0.255 0.236
I 0.500 0.500 0.500

Computed properties:
The value obtained for the theoretical density is 8.6 g/cm3. For the magnetization, the calculation gives 0.00 μB/f.u. Its raw total energy is -3.2017 eV/atom.